Below is an optimized crystal structure of TiHg2Os, with properties calculated at the GGA-PBE level.

The structure in POSCAR format:
```
TiHg2Os
1.0
7.619 0.000 0.000
0.000 7.619 0.000
0.000 0.000 5.454
Ti Hg Os
4 8 4
Direct
0.000 0.000 0.000 Ti
0.000 0.500 0.250 Ti
0.500 0.000 0.750 Ti
0.500 0.500 0.500 Ti
0.243 0.250 0.625 Hg
0.250 0.743 0.875 Hg
0.250 0.757 0.375 Hg
0.257 0.250 0.125 Hg
0.743 0.750 0.125 Hg
0.750 0.243 0.375 Hg
0.750 0.257 0.875 Hg
0.757 0.750 0.625 Hg
0.000 0.000 0.500 Os
0.000 0.500 0.750 Os
0.500 0.000 0.250 Os
0.500 0.500 0.000 Os
```

Results
**Calculated formation energy**: 0.833 eV per atom
**Crystal system**: tetragonal
**Energy above the most stable polymorph in this dataset**: 355.0 meV/atom

---

Below is an optimized crystal structure of K4Er3ZrSe8, with properties calculated at the GGA-PBE level.

The structure in POSCAR format:
```
K4Er3ZrSe8
1.0
4.121 2.379 7.688
-4.121 2.379 7.688
0.000 -4.758 7.688
K Er Zr Se
4 3 1 8
Direct
0.000 0.000 0.000 K
0.000 0.500 0.500 K
0.500 0.000 0.500 K
0.500 0.500 0.000 K
0.000 0.000 0.500 Er
0.000 0.500 0.000 Er
0.500 0.000 0.000 Er
0.500 0.500 0.500 Zr
0.235 0.235 0.235 Se
0.243 0.730 0.730 Se
0.270 0.270 0.757 Se
0.270 0.757 0.270 Se
0.730 0.243 0.730 Se
0.730 0.730 0.243 Se
0.757 0.270 0.270 Se
0.765 0.765 0.765 Se
```

Results
**ΔE_f (raw)**: -1633 meV per atom
**Crystal system**: trigonal

---

no.,E (eV/atom),V (Å³/atom)
1,-4.099,19.79
2,-5.039,28.26